(1)
PBE PmY12Ho6, relaxed; raw total energy = -5.344 eV per atom; energy relative to the lowest polymorph listed for this composition = 0.4110 eV per atom; ΔH_f (0 K) = 8.26 eV per formula unit
1.0
6.719 3.879 4.207
-6.719 3.879 4.207
0.000 -7.758 4.207
Pm Y Ho
1 12 6
Direct
0.000 0.000 0.000 Pm
0.118 0.500 0.882 Y
0.118 0.882 0.500 Y
0.182 0.468 0.468 Y
0.468 0.182 0.468 Y
0.468 0.468 0.182 Y
0.500 0.118 0.882 Y
0.500 0.882 0.118 Y
0.532 0.532 0.818 Y
0.532 0.818 0.532 Y
0.818 0.532 0.532 Y
0.882 0.118 0.500 Y
0.882 0.500 0.118 Y
0.206 0.206 0.744 Ho
0.206 0.744 0.206 Ho
0.256 0.794 0.794 Ho
0.744 0.206 0.206 Ho
0.794 0.256 0.794 Ho
0.794 0.794 0.256 Ho

(2)
PBE CdAu2Se, relaxed; raw total energy = -2.647 eV per atom; energy relative to the lowest polymorph listed for this composition = 0.1276 eV per atom
1.0
6.822 0.000 0.000
0.000 6.822 0.000
0.000 0.000 6.822
Cd Au Se
4 8 4
Direct
0.000 0.000 0.000 Cd
0.000 0.500 0.500 Cd
0.500 0.000 0.500 Cd
0.500 0.500 0.000 Cd
0.250 0.250 0.250 Au
0.250 0.250 0.750 Au
0.250 0.750 0.250 Au
0.250 0.750 0.750 Au
0.750 0.250 0.250 Au
0.750 0.250 0.750 Au
0.750 0.750 0.250 Au
0.750 0.750 0.750 Au
0.000 0.000 0.500 Se
0.000 0.500 0.000 Se
0.500 0.000 0.000 Se
0.500 0.500 0.500 Se

(3)
PBE La2Tb, relaxed; raw total energy = -4.590 eV per atom; energy relative to the lowest polymorph listed for this composition = 0.2135 eV per atom; ΔH_f (0 K) = 0.72 eV per formula unit
1.0
0.000 4.754 4.754
4.754 0.000 4.754
4.754 4.754 0.000
La Tb
4 2
Direct
0.000 0.000 0.000 La
0.000 0.000 0.500 La
0.000 0.500 0.000 La
0.500 0.000 0.000 La
0.375 0.375 0.375 Tb
0.625 0.625 0.625 Tb

(4)
PBE Fe2Tc, relaxed; raw total energy = -8.989 eV per atom; energy relative to the lowest polymorph listed for this composition = 0.0884 eV per atom; ΔH_f (0 K) = 0.33 eV per formula unit
1.0
9.298 0.000 0.000
0.000 2.595 0.000
-1.497 0.000 5.866
Fe Tc
8 4
Direct
0.030 0.000 0.296 Fe
0.135 0.500 0.028 Fe
0.365 0.000 0.972 Fe
0.470 0.500 0.704 Fe
0.530 0.500 0.296 Fe
0.635 0.000 0.028 Fe
0.865 0.500 0.972 Fe
0.970 0.000 0.704 Fe
0.188 0.500 0.649 Tc
0.312 0.000 0.351 Tc
0.688 0.000 0.649 Tc
0.812 0.500 0.351 Tc

(5)
PBE Pr2SmEr3S6, relaxed; raw total energy = -6.390 eV per atom
1.0
8.711 -1.960 0.000
8.711 1.960 0.000
-2.093 0.000 7.778
Pr Sm Er S
2 1 3 6
Direct
0.167 0.167 0.334 Pr
0.833 0.833 0.666 Pr
0.500 0.500 0.000 Sm
0.168 0.168 0.834 Er
0.500 0.500 0.500 Er
0.832 0.832 0.166 Er
0.005 0.005 0.743 S
0.331 0.331 0.931 S
0.338 0.338 0.404 S
0.662 0.662 0.596 S
0.669 0.669 0.069 S
0.995 0.995 0.257 S

(6)
PBE BiSb2Pd3, relaxed; raw total energy = -4.858 eV per atom
1.0
6.619 -4.229 0.000
6.619 4.229 0.000
0.000 0.000 5.267
Bi Sb Pd
2 4 6
Direct
0.123 0.877 0.500 Bi
0.877 0.123 0.000 Bi
0.229 0.459 0.828 Sb
0.459 0.229 0.328 Sb
0.541 0.771 0.828 Sb
0.771 0.541 0.328 Sb
0.109 0.529 0.331 Pd
0.234 0.766 0.011 Pd
0.471 0.891 0.331 Pd
0.529 0.109 0.831 Pd
0.766 0.234 0.511 Pd
0.891 0.471 0.831 Pd

(7)
PBE Rb2SrI6N, relaxed; raw total energy = -2.638 eV per atom
1.0
-4.272 4.272 5.759
4.272 -4.272 5.759
4.272 4.272 -5.759
Rb Sr I N
2 1 6 1
Direct
0.250 0.750 0.500 Rb
0.750 0.250 0.500 Rb
0.000 0.000 0.000 Sr
0.266 0.266 0.532 I
0.266 0.734 0.000 I
0.281 0.281 0.000 I
0.719 0.719 0.000 I
0.734 0.266 0.000 I
0.734 0.734 0.468 I
0.500 0.500 0.000 N

(8)
PBE BaAl2GaFe, relaxed; raw total energy = -4.460 eV per atom; ΔH_f (0 K) = -1.40 eV per formula unit
1.0
4.702 0.000 0.000
0.000 4.702 0.000
0.000 0.000 4.743
Ba Al Ga Fe
1 2 1 1
Direct
0.000 0.000 0.000 Ba
0.000 0.500 0.500 Al
0.500 0.000 0.500 Al
0.500 0.500 0.000 Ga
0.500 0.500 0.500 Fe